No. 1
The following is a DFT calculation (PBE) of a relaxed structure of Tb2HfH.

The calculation puts the spin magnetization at 0.001 μB per formula unit. As for the total DFT energy (no corrections): -65.621 eV per cell.

It has space group R-3m (No. 166, hexagonal axes), with a = 3.3120 Å, b = 3.3120 Å, c = 27.4250 Å, α = 90.00°, β = 90.00° and γ = 120.00°. The distinct sites, in fractional coordinates, are Tb at (0.0000, 0.0000, 0.1154), Hf at (0.0000, 0.0000, 0.0000) and H at (0.0000, 0.0000, 0.5000).

***

No. 2
The following is a DFT calculation (PBE) of a relaxed structure of HfTc3H.

The calculation puts the spin magnetization at 4.406 μB per formula unit. As for the total DFT energy (no corrections): -31.448 eV per cell.

It has space group Pm-3m (No. 221), with a = 4.835 Å, b = 4.835 Å, c = 4.835 Å, α = 90.00°, β = 90.00° and γ = 90.00°. The distinct sites, in fractional coordinates, are Hf at (0.000, 0.000, 0.000), Tc at (0.000, 0.000, 0.500) and H at (0.500, 0.500, 0.500).

***

No. 3
The following is a DFT calculation (PBE) of a relaxed structure of Hf3TcH.

The calculation puts the spin magnetization at 0.000 μB per formula unit. As for the total DFT energy (no corrections): -43.817 eV per cell.

It has space group Pm-3m (No. 221), with a = 4.333 Å, b = 4.333 Å, c = 4.333 Å, α = 90.00°, β = 90.00° and γ = 90.00°. The distinct sites, in fractional coordinates, are Hf at (0.000, 0.000, 0.500), Tc at (0.500, 0.500, 0.500) and H at (0.000, 0.000, 0.000).